(1)
# Y3AlOs | the Alexandria database | PBE-GGA | relaxed
data_Y3AlOs
_cell_length_a 5.333
_cell_length_b 5.333
_cell_length_c 5.333
_cell_angle_alpha 90.00
_cell_angle_beta 90.00
_cell_angle_gamma 90.00
_symmetry_space_group_name_H-M 'P m -3 m'
_symmetry_Int_Tables_number 221
_symmetry_space_group_name_Hall '-P 4 2 3'
loop_
_atom_site_label
_atom_site_type_symbol
_atom_site_fract_x
_atom_site_fract_y
_atom_site_fract_z
Y1 Y 0.000 0.000 0.500
Al1 Al 0.500 0.500 0.500
Os1 Os 0.000 0.000 0.000
# * DOS(E_F): 0.75 states/eV per atom
# * E_tot: -6.789 eV/atom
# * formation energy from the elements: 0.0836 eV/atom
# * E above lowest polymorph: 0 meV/atom

(2)
# YAl4Os | the Alexandria database | PBE-GGA | relaxed
data_YAl4Os
_cell_length_a 6.573
_cell_length_b 6.573
_cell_length_c 11.312
_cell_angle_alpha 90.00
_cell_angle_beta 90.00
_cell_angle_gamma 90.00
_symmetry_space_group_name_H-M 'I 4/m c m'
_symmetry_Int_Tables_number 140
_symmetry_space_group_name_Hall '-I 4 2c'
loop_
_atom_site_label
_atom_site_type_symbol
_atom_site_fract_x
_atom_site_fract_y
_atom_site_fract_z
Y1 Y 0.000 0.000 0.000
Al1 Al 0.150 0.350 0.168
Os1 Os 0.000 0.000 0.250
# * DOS(E_F): 0.35 states/eV per atom
# * E_tot: -5.673 eV/atom
# * formation energy from the elements: -0.2294 eV/atom

(3)
# YAl11Os | the Alexandria database | PBE-GGA | relaxed
data_YAl11Os
_cell_length_a 5.225
_cell_length_b 12.641
_cell_length_c 7.132
_cell_angle_alpha 90.00
_cell_angle_beta 110.38
_cell_angle_gamma 90.00
_symmetry_space_group_name_H-M 'C 1 2/m 1'
_symmetry_Int_Tables_number 12
loop_
_symmetry_equiv_pos_as_xyz
'x,y,z'
'-x,-y,-z'
'-x,y,-z'
'x,-y,z'
'x+1/2,y+1/2,z'
'-x+1/2,-y+1/2,-z'
'-x+1/2,y+1/2,-z'
'x+1/2,-y+1/2,z'
loop_
_atom_site_label
_atom_site_type_symbol
_atom_site_fract_x
_atom_site_fract_y
_atom_site_fract_z
Y1 Y 0.000 0.000 0.000
Al1 Al 0.000 0.000 0.500
Al2 Al 0.109 0.392 0.224
Al3 Al 0.189 0.173 0.359
Al4 Al 0.250 0.250 0.000
Os1 Os 0.000 0.500 0.500
# * DOS(E_F): 0.46 states/eV per atom
# * E_tot: -4.756 eV/atom
# * formation energy from the elements: -0.2279 eV/atom

(4)
# YAlOs2 | the Alexandria database | PBE-GGA | relaxed
data_YAlOs2
_cell_length_a 3.140
_cell_length_b 4.997
_cell_length_c 8.707
_cell_angle_alpha 90.00
_cell_angle_beta 90.00
_cell_angle_gamma 90.00
_symmetry_space_group_name_H-M 'I m m m'
_symmetry_Int_Tables_number 71
_symmetry_space_group_name_Hall '-I 2 2'
loop_
_atom_site_label
_atom_site_type_symbol
_atom_site_fract_x
_atom_site_fract_y
_atom_site_fract_z
Y1 Y 0.000 0.000 0.000
Al1 Al 0.000 0.000 0.500
Os1 Os 0.000 0.500 0.230
# * DOS(E_F): 0.83 states/eV per atom
# * E_tot: -8.042 eV/atom
# * formation energy from the elements: 0.1249 eV/atom

(5)
# YAlOs2 | the Alexandria database | PBE-GGA | relaxed
data_YAlOs2
_cell_length_a 4.464
_cell_length_b 4.464
_cell_length_c 3.386
_cell_angle_alpha 90.00
_cell_angle_beta 90.00
_cell_angle_gamma 90.00
_symmetry_space_group_name_H-M 'P 4/m m m'
_symmetry_Int_Tables_number 123
_symmetry_space_group_name_Hall '-P 4 2'
loop_
_atom_site_label
_atom_site_type_symbol
_atom_site_fract_x
_atom_site_fract_y
_atom_site_fract_z
Y1 Y 0.000 0.000 0.000
Al1 Al 0.500 0.500 0.000
Os1 Os 0.000 0.500 0.500
# * DOS(E_F): 0.91 states/eV per atom
# * E_tot: -8.153 eV/atom
# * formation energy from the elements: 0.0139 eV/atom

(6)
# YAlOs | the Alexandria database | PBE-GGA | relaxed
data_YAlOs
_cell_length_a 6.386
_cell_length_b 6.386
_cell_length_c 6.386
_cell_angle_alpha 90.00
_cell_angle_beta 90.00
_cell_angle_gamma 90.00
_symmetry_space_group_name_H-M 'F -4 3 m'
_symmetry_Int_Tables_number 216
_symmetry_space_group_name_Hall 'F -4 2 3'
loop_
_atom_site_label
_atom_site_type_symbol
_atom_site_fract_x
_atom_site_fract_y
_atom_site_fract_z
Y1 Y 0.000 0.000 0.000
Al1 Al 0.000 0.000 0.500
Os1 Os 0.250 0.250 0.750
# * DOS(E_F): 0.27 states/eV per atom
# * E_tot: -7.217 eV/atom
# * formation energy from the elements: -0.0714 eV/atom

(7)
# YAlOs2 | the Alexandria database | PBE-GGA | relaxed
data_YAlOs2
_cell_length_a 2.927
_cell_length_b 2.927
_cell_length_c 8.115
_cell_angle_alpha 90.00
_cell_angle_beta 90.00
_cell_angle_gamma 90.00
_symmetry_space_group_name_H-M 'P 4 m m'
_symmetry_Int_Tables_number 99
loop_
_symmetry_equiv_pos_as_xyz
'x,y,z'
'-y,x,z'
'-x,-y,z'
'y,-x,z'
'-x,y,z'
'y,x,z'
'x,-y,z'
'-y,-x,z'
loop_
_atom_site_label
_atom_site_type_symbol
_atom_site_fract_x
_atom_site_fract_y
_atom_site_fract_z
Y1 Y 0.000 0.000 0.000
Al1 Al 0.500 0.500 0.306
Os1 Os 0.000 0.000 0.518
Os2 Os 0.500 0.500 0.718
# * DOS(E_F): 0.35 states/eV per atom
# * E_tot: -8.287 eV/atom
# * formation energy from the elements: -0.1202 eV/atom

(8)
# Y2Al2Os | the Alexandria database | PBE-GGA | relaxed
data_Y2Al2Os
_cell_length_a 6.859
_cell_length_b 6.859
_cell_length_c 4.467
_cell_angle_alpha 90.00
_cell_angle_beta 90.00
_cell_angle_gamma 90.00
_symmetry_space_group_name_H-M 'P 4/m b m'
_symmetry_Int_Tables_number 127
_symmetry_space_group_name_Hall '-P 4 2ab'
loop_
_atom_site_label
_atom_site_type_symbol
_atom_site_fract_x
_atom_site_fract_y
_atom_site_fract_z
Y1 Y 0.178 0.322 0.000
Al1 Al 0.135 0.635 0.500
Os1 Os 0.000 0.000 0.500
# * DOS(E_F): 1.11 states/eV per atom
# * E_tot: -6.581 eV/atom
# * formation energy from the elements: -0.2529 eV/atom
# * E above lowest polymorph: 200 meV/atom

(9)
# YAlOs2 | the Alexandria database | PBE-GGA | relaxed
data_YAlOs2
_cell_length_a 8.906
_cell_length_b 3.096
_cell_length_c 5.313
_cell_angle_alpha 90.00
_cell_angle_beta 105.60
_cell_angle_gamma 90.00
_symmetry_space_group_name_H-M 'C 1 2/m 1'
_symmetry_Int_Tables_number 12
loop_
_symmetry_equiv_pos_as_xyz
'x,y,z'
'-x,-y,-z'
'-x,y,-z'
'x,-y,z'
'x+1/2,y+1/2,z'
'-x+1/2,-y+1/2,-z'
'-x+1/2,y+1/2,-z'
'x+1/2,-y+1/2,z'
loop_
_atom_site_label
_atom_site_type_symbol
_atom_site_fract_x
_atom_site_fract_y
_atom_site_fract_z
Y1 Y 0.000 0.000 0.000
Al1 Al 0.000 0.500 0.500
Os1 Os 0.232 0.000 0.691
# * DOS(E_F): 0.64 states/eV per atom
# * E_tot: -8.174 eV/atom
# * formation energy from the elements: -0.0071 eV/atom

(10)
# YAlOs2 | the Alexandria database | PBE-GGA | relaxed
data_YAlOs2
_cell_length_a 4.442
_cell_length_b 4.442
_cell_length_c 17.639
_cell_angle_alpha 90.00
_cell_angle_beta 90.00
_cell_angle_gamma 90.00
_symmetry_space_group_name_H-M 'I -4 2 d'
_symmetry_Int_Tables_number 122
_symmetry_space_group_name_Hall 'I -4 2bw'
loop_
_atom_site_label
_atom_site_type_symbol
_atom_site_fract_x
_atom_site_fract_y
_atom_site_fract_z
Y1 Y 0.000 0.000 0.000
Al1 Al 0.000 0.000 0.500
Os1 Os 0.108 0.250 0.625
# * DOS(E_F): 0.92 states/eV per atom
# * E_tot: -7.894 eV/atom
# * formation energy from the elements: 0.2730 eV/atom

(11)
# Y2Al2Os | the Alexandria database | PBE-GGA | relaxed
data_Y2Al2Os
_cell_length_a 4.395
_cell_length_b 5.272
_cell_length_c 9.192
_cell_angle_alpha 90.00
_cell_angle_beta 90.00
_cell_angle_gamma 90.00
_symmetry_space_group_name_H-M 'I m m m'
_symmetry_Int_Tables_number 71
_symmetry_space_group_name_Hall '-I 2 2'
loop_
_atom_site_label
_atom_site_type_symbol
_atom_site_fract_x
_atom_site_fract_y
_atom_site_fract_z
Y1 Y 0.000 0.000 0.194
Al1 Al 0.000 0.247 0.500
Os1 Os 0.000 0.500 0.000
# * DOS(E_F): 0.69 states/eV per atom
# * E_tot: -6.782 eV/atom
# * formation energy from the elements: -0.4529 eV/atom
# * E above lowest polymorph: 0 meV/atom

(12)
# YAl4Os | the Alexandria database | PBE-GGA | relaxed
data_YAl4Os
_cell_length_a 7.419
_cell_length_b 7.419
_cell_length_c 7.419
_cell_angle_alpha 90.00
_cell_angle_beta 90.00
_cell_angle_gamma 90.00
_symmetry_space_group_name_H-M 'F -4 3 m'
_symmetry_Int_Tables_number 216
_symmetry_space_group_name_Hall 'F -4 2 3'
loop_
_atom_site_label
_atom_site_type_symbol
_atom_site_fract_x
_atom_site_fract_y
_atom_site_fract_z
Y1 Y 0.000 0.000 0.000
Al1 Al 0.125 0.125 0.625
Os1 Os 0.250 0.250 0.250
# * DOS(E_F): 0.94 states/eV per atom
# * E_tot: -5.474 eV/atom
# * formation energy from the elements: -0.0298 eV/atom